Below is a geometry-optimized Hf4ZrSc3N8 structure, with properties calculated at the PBE level.

Results
- E_form (uncorrected): -1869 meV per atom
- Total DFT energy (no corrections): -10.2410 eV per atom
- Space group: R-3m, No. 166

POSCAR file:
```
Hf4ZrSc3N8
1.0
6.4207 0.0000 0.0000
0.0000 6.4186 -0.0058
-3.2103 -3.2072 4.5422
Hf Sc N Zr
4 3 8 1
direct
0.5000 0.0000 0.0000
0.0000 0.0000 0.0000
0.0000 0.0000 0.5000
0.5000 0.0000 0.5000
0.5000 0.5000 0.0000
0.5000 0.5000 0.5000
0.0000 0.5000 0.5000
0.7493 0.7568 0.0030
0.7463 0.2432 0.9970
0.2537 0.7568 0.5074
0.2480 0.2440 0.4960
0.7463 0.2432 0.4926
0.2537 0.7568 0.0030
0.2507 0.2432 0.9970
0.7520 0.7560 0.5040
0.0000 0.5000 0.0000
```

Below is a geometry-optimized CsFeTeN2 structure, with properties calculated at the PBE level.

Results
- E_form (uncorrected): 2508 meV per atom
- Total DFT energy (no corrections): -3.3137 eV per atom
- Space group: P4/mmm, No. 123

POSCAR file:
```
CsFeTeN2
1.0
-3.1555 -2.5044 -1.6761
-1.1559 -1.2354 4.0220
-4.9331 5.9428 0.4076
N Te Fe Cs
2 1 1 1
direct
0.5000 0.0000 0.0000
0.0000 0.5000 0.0000
0.0000 0.0000 0.5000
0.5000 0.5000 0.5000
0.0000 0.0000 0.0000
```